# PBE MnBiP2S, optimized geometry
# Mass density in g/cm³: 6.17
# Formation energy (no corrections) in eV/atom: 0.28
# SG: P4/mmm, No. 123
data_MnBiP2S
_chemical_formula_sum 'Mn1 Bi1 P2 S1'
_cell_length_a 4.2778
_cell_length_b 4.2778
_cell_length_c 5.2670
_cell_angle_alpha 90.00
_cell_angle_beta 90.00
_cell_angle_gamma 90.00
_space_group_name_H-M_alt 'P 1'
_space_group_IT_number 1
_space_group_name_Hall 'P 1'
loop_
_atom_site_label
_atom_site_type_symbol
_atom_site_fract_x
_atom_site_fract_y
_atom_site_fract_z
_atom_site_occupancy
Mn1 Mn 0.0000 0.0000 0.0000 1
Bi1 Bi 0.5000 0.5000 0.5000 1
P1 P 0.0000 0.5000 0.0000 1
P2 P 0.5000 0.0000 0.0000 1
S1 S 0.0000 0.0000 0.5000 1